VASP calculation (GGA+U) on an optimized crystal structure of NiGe3O.

CIF file:
```
data_NiGe3O
_symmetry_space_group_name_H-M 'P m -3 m'
_symmetry_Int_Tables_number 221
_symmetry_space_group_name_Hall '-P 4 2 3'
_cell_length_a 4.452
_cell_length_b 4.452
_cell_length_c 4.452
_cell_angle_alpha 90.00
_cell_angle_beta 90.00
_cell_angle_gamma 90.00
loop_
_atom_site_label
_atom_site_type_symbol
_atom_site_fract_x
_atom_site_fract_y
_atom_site_fract_z
_atom_site_occupancy
Ni1 Ni 0.000 0.000 0.000 1
Ge1 Ge 0.000 0.000 0.500 1
O1 O 0.500 0.500 0.500 1
```

Values from the calculation:
Total magnetic moment ... 0.00 μB/f.u.
Distance to the lowest polymorph of the same formula ... 147 meV per atom
Theoretical density ... 5.50 Mg/m³